[1]
## NaScS2 (GGA-PBE)

Data for crystalline NaScS2 at its relaxed geometry.

Results
For the volume, the calculation gives 457.2 Å³/cell. The calculation puts the density of states at the Fermi level at 0.000 states/eV per cell. The mass density is 1.92 g/cm³. Its total magnetization is 0.0 μB per formula unit. Its space-group type is Cmcm, No. 63. Its uncorrected formation energy is -144.8 kJ per mole of atoms. The total energy comes out at -5.477 eV/atom.

abc: 6.661 18.310 3.748
angles: 90.00 90.00 90.00
Sites, in units of the cell vectors:
Na 0.000 0.115 0.250
Na 0.000 0.885 0.750
Na 0.500 0.385 0.750
Na 0.500 0.615 0.250
Sc 0.000 0.281 0.750
Sc 0.000 0.719 0.250
Sc 0.500 0.219 0.250
Sc 0.500 0.781 0.750
S 0.242 0.329 0.250
S 0.242 0.671 0.750
S 0.258 0.171 0.750
S 0.258 0.829 0.250
S 0.742 0.171 0.750
S 0.742 0.829 0.250
S 0.758 0.329 0.250
S 0.758 0.671 0.750

[2]
## NaSc3S (GGA-PBE)

Data for crystalline NaSc3S at its relaxed geometry.

Results
For the volume, the calculation gives 134.4 Å³/cell. The calculation puts the density of states at the Fermi level at 5.380 states/eV per cell. The mass density is 2.35 g/cm³. Its total magnetization is 0.0 μB per formula unit. Its space-group type is Pm-3m, No. 221. Its uncorrected formation energy is 93.9 kJ per mole of atoms. The total energy comes out at -3.915 eV/atom. For the offset from the most stable computed form, the calculation gives 1.399 eV per atom.

abc: 5.123 5.123 5.123
angles: 90.00 90.00 90.00
Sites, in units of the cell vectors:
Na 0.000 0.000 0.000
Sc 0.000 0.000 0.500
Sc 0.000 0.500 0.000
Sc 0.500 0.000 0.000
S 0.500 0.500 0.500